[1]
Here is a geometry-optimized Tl3AsS3 structure from the Alexandria database. Energies are from PBEsol.

Lattice parameters (Å, degrees): 5.6346 12.0747 21.1867 90.00 90.00 90.00
Sites, in units of the cell vectors:
Tl  0.9060  0.7771  0.1848
Tl  0.4060  0.7229  0.8152
Tl  0.0879  0.8273  0.9736
Tl  0.5879  0.6727  0.0264
Tl  0.9121  0.3273  0.5264
Tl  0.5940  0.2771  0.1848
Tl  0.0879  0.6727  0.4736
Tl  0.5940  0.2229  0.6848
Tl  0.4121  0.3273  0.9736
Tl  0.4060  0.7771  0.3152
Tl  0.5879  0.8273  0.5264
Tl  0.9060  0.7229  0.6848
Tl  0.0940  0.2229  0.8152
Tl  0.9546  0.9311  0.8067
Tl  0.4546  0.9311  0.6933
Tl  0.0940  0.2771  0.3152
Tl  0.0454  0.4311  0.6933
Tl  0.0454  0.0689  0.1933
Tl  0.9546  0.5689  0.3067
Tl  0.9121  0.1727  0.0264
Tl  0.4121  0.1727  0.4736
Tl  0.5454  0.0689  0.3067
Tl  0.5454  0.4311  0.8067
Tl  0.4546  0.5689  0.1933
As  0.4560  0.5524  0.5827
As  0.0440  0.0524  0.5827
As  0.5440  0.0524  0.9173
As  0.0440  0.4476  0.0827
As  0.5440  0.4476  0.4173
As  0.9560  0.9476  0.4173
As  0.9560  0.5524  0.9173
As  0.4560  0.9476  0.0827
S  0.6135  0.3887  0.3174
S  0.6135  0.1113  0.8174
S  0.1135  0.3887  0.1826
S  0.3599  0.5549  0.9175
S  0.8865  0.8887  0.3174
S  0.1193  0.6304  0.0899
S  0.8807  0.1304  0.4101
S  0.1135  0.1113  0.6826
S  0.6193  0.8696  0.9101
S  0.3807  0.1304  0.0899
S  0.6401  0.0549  0.5825
S  0.6193  0.6304  0.4101
S  0.1401  0.4451  0.4175
S  0.1401  0.0549  0.9175
S  0.6401  0.4451  0.0825
S  0.8807  0.3696  0.9101
S  0.3807  0.3696  0.5899
S  0.3865  0.6113  0.6826
S  0.8599  0.5549  0.5825
S  0.3865  0.8887  0.1826
S  0.1193  0.8696  0.5899
S  0.3599  0.9451  0.4175
S  0.8599  0.9451  0.0825
S  0.8865  0.6113  0.8174

As for the polymorph energy (0 for the lowest one): 0.0 meV per atom. The calculation puts the energy relative to the elements, uncorrected at -0.288 eV per atom.

=====

[2]
Here is a geometry-optimized Tl3AsS3 structure from the Alexandria database. Energies are from PBEsol.

Lattice parameters (Å, degrees): 5.8969 5.8969 5.8969 105.66 105.66 105.66
Sites, in units of the cell vectors:
S  0.0543  0.4294  0.4294
S  0.4294  0.0543  0.4294
S  0.4294  0.4294  0.0543
Tl  0.6148  0.9986  0.9986
Tl  0.9986  0.6148  0.9986
Tl  0.9986  0.9986  0.6148
As  0.4497  0.4497  0.4497

As for the polymorph energy (0 for the lowest one): 5.8 meV per atom. The calculation puts the energy relative to the elements, uncorrected at -0.283 eV per atom.

=====

[3]
Here is a geometry-optimized Tl2AsS structure from the Alexandria database. Energies are from PBEsol.

Lattice parameters (Å, degrees): 5.0344 5.0344 5.0344 60.00 60.00 60.00
Sites, in units of the cell vectors:
S  0.0000  0.0000  0.0000
Tl  0.2500  0.2500  0.2500
Tl  0.7500  0.7500  0.7500
As  0.5000  0.5000  0.5000

The calculation puts the energy relative to the elements, uncorrected at 0.181 eV per atom.

=====

[4]
Here is a geometry-optimized U2AsS structure from the Alexandria database. Energies are from PBEsol.

Lattice parameters (Å, degrees): 3.9005 3.9005 6.7300 73.16 73.16 60.00
Each line ends with the local moment (μB).
Sites, in units of the cell vectors:
As  0.0000  0.0000  0.0000  -0.05
U  0.7557  0.7557  0.7328  1.71
U  0.2443  0.2443  0.2672  1.71
S  0.5000  0.5000  0.5000  -0.06

The calculation puts the energy relative to the elements, uncorrected at -0.959 eV per atom.

=====

[5]
Here is a geometry-optimized AsW2S structure from the Alexandria database. Energies are from PBEsol.

Lattice parameters (Å, degrees): 4.3082 4.3082 4.3082 60.00 60.00 60.00
Sites, in units of the cell vectors:
As  0.5000  0.5000  0.5000
S  0.0000  0.0000  0.0000
W  0.2500  0.2500  0.2500
W  0.7500  0.7500  0.7500

The calculation puts the energy relative to the elements, uncorrected at 0.170 eV per atom.

=====

[6]
Here is a geometry-optimized YAsS structure from the Alexandria database. Energies are from PBEsol.

Lattice parameters (Å, degrees): 3.7338 6.9426 9.3913 90.00 90.00 90.00
Sites, in units of the cell vectors:
Y  0.7500  0.7951  0.3409
Y  0.2500  0.2049  0.6591
Y  0.7500  0.2951  0.1591
Y  0.2500  0.7049  0.8409
As  0.2500  0.1052  0.9581
As  0.7500  0.3948  0.4581
As  0.2500  0.6052  0.5419
As  0.7500  0.8948  0.0419
S  0.7500  0.4108  0.8409
S  0.2500  0.0892  0.3409
S  0.7500  0.9108  0.6591
S  0.2500  0.5892  0.1591

The calculation puts the energy relative to the elements, uncorrected at -1.553 eV per atom.

=====

[7]
Here is a geometry-optimized YAsS structure from the Alexandria database. Energies are from PBEsol.

Lattice parameters (Å, degrees): 3.7760 3.7760 8.3956 90.00 90.00 90.00
Sites, in units of the cell vectors:
Y  0.0000  0.5000  0.7092
Y  0.5000  0.0000  0.2908
As  0.0000  0.0000  0.0000
As  0.5000  0.5000  0.0000
S  0.0000  0.5000  0.3739
S  0.5000  0.0000  0.6261

The calculation puts the energy relative to the elements, uncorrected at -1.644 eV per atom.

=====

[8]
Here is a geometry-optimized Zn2AsS structure from the Alexandria database. Energies are from PBEsol.

Lattice parameters (Å, degrees): 4.4998 4.4998 4.4998 60.00 60.00 60.00
Sites, in units of the cell vectors:
S  0.0000  0.0000  0.0000
As  0.5000  0.5000  0.5000
Zn  0.2500  0.2500  0.2500
Zn  0.7500  0.7500  0.7500

The calculation puts the energy relative to the elements, uncorrected at 0.266 eV per atom.

=====

[9]
Here is a geometry-optimized ZnAsS2 structure from the Alexandria database. Energies are from PBEsol.

Lattice parameters (Å, degrees): 3.5331 3.5331 7.5712 76.51 76.51 60.00
Sites, in units of the cell vectors:
S  0.8935  0.8935  0.3194
S  0.1065  0.1065  0.6806
As  0.0000  0.0000  0.0000
Zn  0.5000  0.5000  0.5000

As for the polymorph energy (0 for the lowest one): 0.0 meV per atom. The calculation puts the energy relative to the elements, uncorrected at -0.015 eV per atom.

=====

[10]
Here is a geometry-optimized Zr2As3S structure from the Alexandria database. Energies are from PBEsol.

Lattice parameters (Å, degrees): 3.7230 3.7230 7.9213 90.00 90.00 90.00
Sites, in units of the cell vectors:
As  0.5000  0.0000  0.9986
As  0.0000  0.5000  0.9986
As  0.5000  0.5000  0.3789
S  0.0000  0.0000  0.6246
Zr  0.5000  0.5000  0.7275
Zr  0.0000  0.0000  0.2717

The calculation puts the energy relative to the elements, uncorrected at -1.058 eV per atom.

=====

[11]
Here is a geometry-optimized SbAs2 structure from the Alexandria database. Energies are from PBEsol.

Lattice parameters (Å, degrees): 3.5213 5.0308 7.8128 90.00 103.02 90.00
Sites, in units of the cell vectors:
Sb  0.1064  0.7500  0.2129
Sb  0.8936  0.2500  0.7871
As  0.7931  0.7500  0.5862
As  0.4139  0.7500  0.8278
As  0.2069  0.2500  0.4138
As  0.5861  0.2500  0.1722

As for the polymorph energy (0 for the lowest one): 209.4 meV per atom. The calculation puts the energy relative to the elements, uncorrected at 0.242 eV per atom.

=====

[12]
Here is a geometry-optimized SbAs2 structure from the Alexandria database. Energies are from PBEsol.

Lattice parameters (Å, degrees): 3.9876 3.9876 4.8875 90.00 90.00 120.00
Sites, in units of the cell vectors:
Sb  0.0000  0.0000  0.0000
As  0.3333  0.6667  0.3472
As  0.6667  0.3333  0.6528

As for the polymorph energy (0 for the lowest one): 26.2 meV per atom. The calculation puts the energy relative to the elements, uncorrected at 0.059 eV per atom.

=====

> Number 1 is which compound?

Tl3AsS3

=====

> Number 12 is which compound?

SbAs2

=====

> Which of these has the highest energy relative to the elements, uncorrected?

Zn2AsS